Entry 1:
{
  "formula": "La2MgZrC",
  "functional": "PBE-GGA",
  "state": "relaxed",
  "volume_a3_per_atom": 26.17,
  "magmom_total_mub_per_atom": 0.000,
  "formation_energy_mev_per_atom": -85,
  "lattice_angstrom": [[-3.8480, 0.0995, 3.7570], [-1.9396, -4.6582, -1.8632], [2.7069, -2.2599, 2.8323]],
  "species": ["Mg", "C", "Zr", "La", "La"],
  "frac_coords": [[0.5000, 0.5000, 0.5000], [0.0000, 0.0000, 0.0000], [0.0000, 0.0000, 0.5000], [0.0000, 0.5000, 0.0000], [0.5000, 0.0000, 0.0000]]
}

=====

Entry 2:
{
  "formula": "LaMnC2",
  "functional": "PBE-GGA",
  "state": "relaxed",
  "volume_a3_per_atom": 13.67,
  "magmom_total_mub_per_atom": 0.653,
  "formation_energy_mev_per_atom": 1077,
  "lattice_angstrom": [[3.0016, -0.6211, 2.9596], [-0.2989, 1.9460, 3.7786], [-0.8928, -2.2638, 3.4975]],
  "species": ["C", "C", "Mn", "La"],
  "frac_coords": [[0.2500, 0.2500, 0.2500], [0.7500, 0.7500, 0.7500], [0.0000, 0.0000, 0.0000], [0.5000, 0.5000, 0.5000]]
}

=====

Entry 3:
{
  "formula": "La2MnC4",
  "functional": "PBE-GGA",
  "state": "relaxed",
  "volume_a3_per_atom": 15.23,
  "magmom_total_mub_per_atom": 0.133,
  "formation_energy_mev_per_atom": -147,
  "lattice_angstrom": [[4.8961, 0.0000, 1.9448], [1.7332, 6.2208, 2.7719], [0.0429, 0.0273, 7.0274]],
  "species": ["C", "C", "C", "C", "C", "C", "C", "C", "Mn", "Mn", "La", "La", "La", "La"],
  "frac_coords": [[0.1187, 0.2128, 0.5497], [0.8813, 0.7872, 0.4503], [0.6187, 0.5497, 0.2128], [0.3813, 0.4503, 0.7872], [0.0766, 0.0868, 0.7600], [0.9234, 0.9132, 0.2400], [0.5766, 0.7600, 0.0868], [0.4234, 0.2400, 0.9132], [0.2500, 0.0000, 0.0000], [0.7500, 0.0000, 0.0000], [0.3549, 0.8097, 0.4805], [0.6451, 0.1903, 0.5195], [0.8549, 0.4805, 0.8097], [0.1451, 0.5195, 0.1903]]
}

=====

Entry 4:
{
  "formula": "LaMn2C",
  "functional": "PBE-GGA",
  "state": "relaxed",
  "volume_a3_per_atom": 18.25,
  "magmom_total_mub_per_atom": 0.806,
  "formation_energy_mev_per_atom": 298,
  "lattice_angstrom": [[-4.6600, -2.4481, -2.7093], [1.3756, -5.2460, 2.3742], [-4.0218, -2.9752, 3.1375]],
  "species": ["C", "C", "Mn", "Mn", "Mn", "Mn", "La", "La"],
  "frac_coords": [[0.5000, 0.5000, 0.0000], [0.2500, 0.7500, 0.5000], [0.3743, 0.1250, 0.2500], [0.3757, 0.6250, 0.2500], [0.3750, 0.6257, 0.7500], [0.8750, 0.6243, 0.7500], [0.0000, 0.0000, 0.0000], [0.7500, 0.2500, 0.5000]]
}

=====

Entry 5:
{
  "formula": "LaMn3C",
  "functional": "PBE-GGA",
  "state": "relaxed",
  "volume_a3_per_atom": 17.56,
  "magmom_total_mub_per_atom": 0.311,
  "formation_energy_mev_per_atom": 3229,
  "e_above_lowest_polymorph_mev_per_atom": 2985,
  "lattice_angstrom": [[4.4446, 0.0000, 0.0000], [0.0000, 4.4446, 0.0000], [0.0000, 0.0000, 4.4446]],
  "species": ["C", "Mn", "Mn", "Mn", "La"],
  "frac_coords": [[0.5000, 0.5000, 0.5000], [0.0000, 0.5000, 0.0000], [0.0000, 0.0000, 0.5000], [0.5000, 0.0000, 0.0000], [0.0000, 0.0000, 0.0000]]
}

=====

Entry 6:
{
  "formula": "LaMnC2",
  "functional": "PBE-GGA",
  "state": "relaxed",
  "volume_a3_per_atom": 13.06,
  "magmom_total_mub_per_atom": 0.517,
  "formation_energy_mev_per_atom": 431,
  "lattice_angstrom": [[3.3292, 0.0000, 0.0000], [1.6646, 2.8832, 0.0000], [1.6646, 0.9611, 5.4404]],
  "species": ["C", "C", "Mn", "La"],
  "frac_coords": [[0.2780, 0.2780, 0.1660], [0.7220, 0.7220, 0.8340], [0.0000, 0.0000, 0.0000], [0.5000, 0.5000, 0.5000]]
}